Record 1
TlCo2Cu: optimized geometry, PBE-GGA.

Cell: 6.103 6.103 6.103 Å, 90.00 90.00 90.00°
Fractional positions:
Tl: 0.000 0.000 0.000
Tl: 0.000 0.500 0.500
Tl: 0.500 0.000 0.500
Tl: 0.500 0.500 0.000
Co: 0.000 0.000 0.500
Co: 0.000 0.500 0.000
Co: 0.250 0.250 0.250
Co: 0.250 0.750 0.750
Co: 0.500 0.000 0.000
Co: 0.500 0.500 0.500
Co: 0.750 0.250 0.750
Co: 0.750 0.750 0.250
Cu: 0.250 0.250 0.750
Cu: 0.250 0.750 0.250
Cu: 0.750 0.250 0.250
Cu: 0.750 0.750 0.750

Results
Space-group type: No. 216
Energy of formation from the pure elements in eV/f.u.: 1.877
Raw total energy in eV per atom: -4.70

---

Record 2
MnCr: optimized geometry, PBE-GGA.

Cell: 4.787 4.787 4.787 Å, 90.00 90.00 90.00°
Fractional positions:
Mn: 0.000 0.000 0.000
Mn: 0.000 0.500 0.500
Mn: 0.500 0.000 0.500
Mn: 0.500 0.500 0.000
Cr: 0.000 0.000 0.500
Cr: 0.000 0.500 0.000
Cr: 0.500 0.000 0.000
Cr: 0.500 0.500 0.500

Results
Space-group type: No. 225
Energy of formation from the pure elements in eV/f.u.: 1.572
Raw total energy in eV per atom: -8.61

---

Record 3
KMgCoSn2: optimized geometry, PBE-GGA.

Cell: 4.983 4.983 5.046 Å, 90.00 90.00 90.00°
Fractional positions:
K: 0.000 0.000 0.000
Mg: 0.500 0.500 0.000
Co: 0.500 0.500 0.500
Sn: 0.000 0.500 0.500
Sn: 0.500 0.000 0.500

Results
Space-group type: No. 123
Energy of formation from the pure elements in eV/f.u.: -0.207
Raw total energy in eV per atom: -3.60

---

Record 4
Pr2Zn3Ag6: optimized geometry, PBE-GGA.

Cell: 7.848 7.848 4.395 Å, 90.00 90.00 120.00°
Fractional positions:
Pr: 0.333 0.667 0.000
Pr: 0.667 0.333 0.000
Zn: 0.000 0.392 0.500
Zn: 0.392 0.000 0.500
Zn: 0.608 0.608 0.500
Ag: 0.000 0.208 0.000
Ag: 0.000 0.723 0.500
Ag: 0.208 0.000 0.000
Ag: 0.277 0.277 0.500
Ag: 0.723 0.000 0.500
Ag: 0.792 0.792 0.000

Results
Space-group type: No. 189
Energy of formation from the pure elements in eV/f.u.: -1.852
Raw total energy in eV per atom: -2.94

---

Record 5
KZrTiCo2: optimized geometry, PBE-GGA.

Cell: 4.422 4.422 4.795 Å, 90.00 90.00 90.00°
Fractional positions:
K: 0.000 0.000 0.000
Zr: 0.500 0.500 0.000
Ti: 0.000 0.000 0.500
Co: 0.000 0.500 0.500
Co: 0.500 0.000 0.500

Results
Space-group type: No. 123
Energy of formation from the pure elements in eV/f.u.: 6.238
Raw total energy in eV per atom: -5.10

---

Record 6
Pu3Sn5S12: optimized geometry, PBE-GGA.

Cell: 13.863 13.863 13.863 Å, 109.47 109.47 109.47°
Fractional positions:
Pu: 0.125 0.250 0.375
Pu: 0.125 0.375 0.750
Pu: 0.250 0.375 0.125
Pu: 0.250 0.875 0.625
Pu: 0.375 0.125 0.250
Pu: 0.375 0.750 0.125
Pu: 0.625 0.250 0.875
Pu: 0.625 0.875 0.750
Pu: 0.750 0.125 0.375
Pu: 0.750 0.625 0.875
Pu: 0.875 0.625 0.250
Pu: 0.875 0.750 0.625
Sn: 0.000 0.000 0.000
Sn: 0.000 0.000 0.500
Sn: 0.000 0.500 0.000
Sn: 0.000 0.500 0.500
Sn: 0.125 0.750 0.875
Sn: 0.125 0.875 0.250
Sn: 0.250 0.125 0.875
Sn: 0.250 0.625 0.375
Sn: 0.375 0.250 0.625
Sn: 0.375 0.625 0.750
Sn: 0.500 0.000 0.000
Sn: 0.500 0.000 0.500
Sn: 0.500 0.500 0.000
Sn: 0.500 0.500 0.500
Sn: 0.625 0.375 0.250
Sn: 0.625 0.750 0.375
Sn: 0.750 0.375 0.625
Sn: 0.750 0.875 0.125
Sn: 0.875 0.125 0.750
Sn: 0.875 0.250 0.125
S: 0.046 0.224 0.136
S: 0.046 0.322 0.910
S: 0.088 0.724 0.678
S: 0.088 0.864 0.410
S: 0.090 0.636 0.412
S: 0.090 0.954 0.678
S: 0.136 0.046 0.224
S: 0.136 0.590 0.912
S: 0.178 0.224 0.588
S: 0.178 0.454 0.590
S: 0.224 0.136 0.046
S: 0.224 0.588 0.178
S: 0.276 0.322 0.912
S: 0.276 0.454 0.364
S: 0.322 0.910 0.046
S: 0.322 0.912 0.276
S: 0.364 0.276 0.454
S: 0.364 0.588 0.910
S: 0.410 0.088 0.864
S: 0.410 0.822 0.546
S: 0.412 0.090 0.636
S: 0.412 0.822 0.776
S: 0.454 0.364 0.276
S: 0.454 0.590 0.178
S: 0.546 0.410 0.822
S: 0.546 0.636 0.724
S: 0.588 0.178 0.224
S: 0.588 0.910 0.364
S: 0.590 0.178 0.454
S: 0.590 0.912 0.136
S: 0.636 0.412 0.090
S: 0.636 0.724 0.546
S: 0.678 0.088 0.724
S: 0.678 0.090 0.954
S: 0.724 0.546 0.636
S: 0.724 0.678 0.088
S: 0.776 0.412 0.822
S: 0.776 0.864 0.954
S: 0.822 0.546 0.410
S: 0.822 0.776 0.412
S: 0.864 0.410 0.088
S: 0.864 0.954 0.776
S: 0.910 0.046 0.322
S: 0.910 0.364 0.588
S: 0.912 0.136 0.590
S: 0.912 0.276 0.322
S: 0.954 0.678 0.090
S: 0.954 0.776 0.864

Results
Space-group type: No. 230
Raw total energy in eV per atom: -6.39
Formation energy without anion corrections in eV per atom: -0.767

---

Record 7
U3Pa5N8: optimized geometry, PBE-GGA.

Cell: 6.981 6.981 6.981 Å, 59.76 59.76 59.76°
Fractional positions:
U: 0.000 0.500 0.500
U: 0.500 0.000 0.500
U: 0.500 0.500 0.000
Pa: 0.000 0.000 0.000
Pa: 0.000 0.000 0.500
Pa: 0.000 0.500 0.000
Pa: 0.500 0.000 0.000
Pa: 0.500 0.500 0.500
N: 0.250 0.250 0.747
N: 0.250 0.747 0.250
N: 0.251 0.251 0.251
N: 0.253 0.750 0.750
N: 0.747 0.250 0.250
N: 0.749 0.749 0.749
N: 0.750 0.253 0.750
N: 0.750 0.750 0.253

Results
Space-group type: No. 166
Raw total energy in eV per atom: -10.75
Formation energy without anion corrections in eV per atom: -1.502

---

Record 8
Np2GaPt6: optimized geometry, PBE-GGA.

Cell: 5.642 5.642 5.995 Å, 90.00 90.00 120.00°
Fractional positions:
Np: 0.333 0.667 0.347
Np: 0.667 0.333 0.653
Ga: 0.000 0.000 0.500
Pt: 0.173 0.346 0.811
Pt: 0.173 0.827 0.811
Pt: 0.346 0.173 0.189
Pt: 0.654 0.827 0.811
Pt: 0.827 0.173 0.189
Pt: 0.827 0.654 0.189

Results
Space-group type: No. 164
Energy of formation from the pure elements in eV/f.u.: -5.644
Raw total energy in eV per atom: -7.87

---

Question: Among the records above, which one has the highest raw total energy?
Answer: Pr2Zn3Ag6